Computed, not measured: a relaxed InGeCl3 crystal at the PBE level of DFT.

## Properties
As for the uncorrected formation energy: -793 meV/atom. The calculation puts the spin magnetization at 0.000 μB/atom. Its space group is P1 (1).

abc: 7.157 6.287 8.577
angles: 73.56 115.01 92.90
Positions (direct):
Cl: 0.050 0.782 0.278
Cl: 0.630 0.139 0.600
Cl: 0.717 0.257 0.072
Cl: 0.198 0.145 0.787
Cl: 0.559 0.767 0.282
Cl: 0.955 0.655 0.796
Ge: 0.702 0.877 0.069
Ge: 0.924 0.996 0.579
In: 0.510 0.541 0.669
In: 0.272 0.203 0.152



Computed, not measured: a relaxed HgMo3Pt crystal at the PBE level of DFT.

## Properties
Its formation energy from the elements is 1.675 eV per atom. The calculation puts the spin magnetization at 0.000 μB/atom. Its space group is Pm-3m (221). The energy above the lowest structure with this stoichiometry comes out at 0.0000 eV/atom.

abc: 4.802 4.802 4.802
angles: 90.00 90.00 90.00
Positions (direct):
Mo: 0.000 0.500 0.000
Mo: 0.500 0.000 0.000
Mo: 0.000 0.000 0.500
Pt: 0.000 0.000 0.000
Hg: 0.500 0.500 0.500



Computed, not measured: a relaxed ScNbNi2 crystal at the PBE level of DFT.

## Properties
Its formation energy from the elements is -0.253 eV per atom. The calculation puts the spin magnetization at 0.000 μB/atom. Its space group is P4/mmm (123).

abc: 2.994 2.994 6.749
angles: 90.00 90.00 90.00
Positions (direct):
Sc: 0.500 0.500 0.000
Ni: 0.000 0.000 0.750
Ni: 0.000 0.000 0.250
Nb: 0.500 0.500 0.500



Computed, not measured: a relaxed CdNi4Hg crystal at the PBE level of DFT.

## Properties
Its formation energy from the elements is 0.115 eV per atom. The calculation puts the spin magnetization at 0.295 μB/atom. Its space group is F-43m (216).

abc: 4.914 4.914 4.914
angles: 60.00 60.00 60.00
Last column: magnetic moment on the atom in μB.
Positions (direct):
Ni: 0.875 0.375 0.375  0.45
Ni: 0.375 0.875 0.375  0.45
Ni: 0.375 0.375 0.375  0.45
Ni: 0.375 0.375 0.875  0.45
Hg: 0.000 0.000 0.000  0.01
Cd: 0.750 0.750 0.750  0.00



Computed, not measured: a relaxed ReF crystal at the PBE level of DFT.

## Properties
As for the uncorrected formation energy: 56 meV/atom. The calculation puts the spin magnetization at 0.000 μB/atom. Its space group is P4_2/mnm (136). The energy above the lowest structure with this stoichiometry comes out at 1.0648 eV/atom.

abc: 9.103 9.103 2.533
angles: 90.00 90.00 90.00
Positions (direct):
F: 0.779 0.221 0.000
F: 0.221 0.779 0.000
F: 0.279 0.279 0.500
F: 0.721 0.721 0.500
Re: 0.591 0.591 0.000
Re: 0.091 0.909 0.500
Re: 0.909 0.091 0.500
Re: 0.409 0.409 0.000



Computed, not measured: a relaxed Ba3OsPt crystal at the PBE level of DFT.

## Properties
Its formation energy from the elements is 0.437 eV per atom. The calculation puts the spin magnetization at 0.000 μB/atom. Its space group is Pm-3m (221). The energy above the lowest structure with this stoichiometry comes out at 0.0000 eV/atom.

abc: 5.788 5.788 5.788
angles: 90.00 90.00 90.00
Positions (direct):
Os: 0.000 0.000 0.000
Pt: 0.500 0.500 0.500
Ba: 0.500 0.000 0.000
Ba: 0.000 0.500 0.000
Ba: 0.000 0.000 0.500



Computed, not measured: a relaxed NaCoB3 crystal at the PBE level of DFT.

## Properties
Its formation energy from the elements is 0.673 eV per atom. The calculation puts the spin magnetization at 0.006 μB/atom. Its space group is Pm-3m (221). The energy above the lowest structure with this stoichiometry comes out at 0.0000 eV/atom.

abc: 3.821 3.821 3.821
angles: 90.00 90.00 90.00
Positions (direct):
Na: 0.500 0.500 0.500
B: 0.000 0.500 0.000
B: 0.500 0.000 0.000
B: 0.000 0.000 0.500
Co: 0.000 0.000 0.000



Computed, not measured: a relaxed NdEu2Hg crystal at the PBE level of DFT.

## Properties
Its formation energy from the elements is -0.131 eV per atom. The calculation puts the spin magnetization at 3.802 μB/atom. Its space group is P4/mmm (123). The energy above the lowest structure with this stoichiometry comes out at 0.0820 eV/atom.

abc: 5.084 5.020 5.020
angles: 90.00 90.00 90.00
Last column: magnetic moment on the atom in μB.
Positions (direct):
Eu: 0.000 0.500 0.000  6.96
Eu: 0.000 0.000 0.500  6.96
Nd: 0.500 0.000 0.000  0.21
Hg: 0.500 0.500 0.500  0.03



Computed, not measured: a relaxed BaScCo2 crystal at the PBE level of DFT.

## Properties
Its formation energy from the elements is 0.160 eV per atom. The calculation puts the spin magnetization at 0.285 μB/atom. Its space group is Amm2 (38). The energy above the lowest structure with this stoichiometry comes out at 0.0782 eV/atom.

abc: 3.966 4.059 6.367
angles: 71.45 90.00 90.00
Last column: magnetic moment on the atom in μB.
Positions (direct):
Ba: 0.500 0.783 0.808  -0.05
Co: 0.000 0.139 0.097  0.78
Co: 0.500 0.062 0.252  0.91
Sc: 0.000 0.516 0.342  -0.23



Computed, not measured: a relaxed PaInTcO6 crystal at the PBE level of DFT.

## Properties
As for the uncorrected formation energy: -2181 meV/atom. The calculation puts the spin magnetization at 0.334 μB/atom. Its space group is P-31c (163).

abc: 5.485 5.485 9.276
angles: 90.00 90.00 120.00
Last column: magnetic moment on the atom in μB.
Positions (direct):
Pa: 0.333 0.667 0.250  0.15
Pa: 0.667 0.333 0.750  0.15
O: 0.979 0.331 0.132  0.07
O: 0.021 0.352 0.632  0.07
O: 0.331 0.979 0.632  0.07
O: 0.648 0.669 0.632  0.07
O: 0.979 0.648 0.368  0.07
O: 0.352 0.331 0.368  0.07
O: 0.669 0.021 0.368  0.07
O: 0.021 0.669 0.868  0.07
O: 0.648 0.979 0.868  0.07
O: 0.352 0.021 0.132  0.07
O: 0.331 0.352 0.868  0.07
O: 0.669 0.648 0.132  0.07
In: 0.000 0.000 0.000  0.04
In: 0.000 0.000 0.500  0.04
Tc: 0.333 0.667 0.750  2.13
Tc: 0.667 0.333 0.250  2.13



Computed, not measured: a relaxed UAlTl2O6 crystal at the PBE level of DFT.

## Properties
As for the uncorrected formation energy: -2123 meV/atom. The calculation puts the spin magnetization at 0.000 μB/atom. Its space group is Fm-3m (225).

abc: 5.752 5.752 5.752
angles: 59.99 59.99 90.02
Positions (direct):
O: 0.759 0.759 0.000
O: 0.759 0.759 0.481
O: 0.759 0.241 0.000
O: 0.241 0.759 0.000
O: 0.241 0.241 0.519
O: 0.241 0.241 0.000
Tl: 0.750 0.250 0.500
Tl: 0.250 0.750 0.500
U: 0.500 0.500 0.000
Al: 0.000 0.000 0.000



Computed, not measured: a relaxed Fe7Rh crystal at the PBE level of DFT.

## Properties
Its formation energy from the elements is -0.001 eV per atom. The calculation puts the spin magnetization at 2.293 μB/atom. Its space group is R-3m (166). The energy above the lowest structure with this stoichiometry comes out at 0.0000 eV/atom.

abc: 5.787 5.787 5.787
angles: 90.14 90.14 89.86
Last column: magnetic moment on the atom in μB.
Positions (direct):
Fe: 0.128 0.623 0.872  2.58
Fe: 0.128 0.128 0.377  2.58
Fe: 0.621 0.621 0.871  2.55
Fe: 0.872 0.872 0.623  2.58
Fe: 0.623 0.128 0.872  2.58
Fe: 0.379 0.871 0.621  2.55
Fe: 0.621 0.129 0.379  2.55
Fe: 0.871 0.379 0.621  2.55
Fe: 0.872 0.377 0.128  2.58
Fe: 0.621 0.621 0.379  2.44
Fe: 0.377 0.872 0.128  2.58
Fe: 0.379 0.379 0.621  2.44
Fe: 0.379 0.379 0.129  2.55
Fe: 0.129 0.621 0.379  2.55
Rh: 0.130 0.130 0.870  0.75
Rh: 0.870 0.870 0.130  0.75



Which final energy belongs to each record? In order, -3.37; -6.09; -7.24; -3.94; -7.10; -4.17; -5.02; -6.54; -5.46; -8.00; -7.07; -8.32 eV per atom.
Which volume belongs to each record? In order, 33.4; 22.1; 15.1; 14.0; 26.2; 38.8; 11.2; 32.0; 24.3; 13.4; 13.5; 12.1 Å³ per atom.